First-principles (PBE-GGA) data for a geometry-optimized La2Tc2Ni structure, as listed in the Alexandria database.

extended XYZ file:
```
10
Lattice="-2.741 -5.751 2.497 -0.487 -2.522 -6.342 4.183 -1.819 0.402" Properties=species:S:1:pos:R:3 pbc="T T T"
Tc -1.759 -3.872 0.786
Tc -2.713 -6.623 -1.738
La -0.286 -6.365 0.250
La 1.241 -3.726 -3.693
Tc -1.469 -4.401 -4.631
La 1.145 -3.178 -0.213
Ni 0.000 0.000 0.000
Tc -0.515 -1.650 -2.107
Ni -1.614 -4.136 -1.922
La -0.190 -6.914 -3.230
```

Fermi-level density of states in states/eV per cell: 7.7
Calculated volume in Å³/cell: 214
Electronic total energy in eV per atom: -7.12
SG: P4/mbm, No. 127

First-principles (PBE-GGA) data for a geometry-optimized LaTcNi2 structure, as listed in the Alexandria database.

extended XYZ file:
```
4
Lattice="3.367 0.000 0.000 0.000 4.447 0.000 0.000 0.000 4.447" Properties=species:S:1:pos:R:3 pbc="T T T"
Ni 0.000 2.223 2.223
Tc 1.683 2.223 0.000
Ni 0.000 0.000 0.000
La 1.683 0.000 2.223
```

Fermi-level density of states in states/eV per cell: 4.7
Calculated volume in Å³/cell: 67
Offset from the most stable computed form in eV per atom: 0.353
SG: P4/mmm, No. 123

| no. | total magnetic moment (μB per formula unit) |
| --- | --- |
| 1 | 0.0 |
| 2 | 1.8 |